10
Lattice="8.5375 0.0000 0.0000 0.0000 8.5375 0.0000 0.0000 0.0000 3.2409" Properties=species:S:1:pos:R:3 comment="Li2LaMg2, single point on PBEsol structure, DFT SCAN" e_tot_ev_per_atom=-11.598 density_kg_m3=2831 ef_kcal_per_mol_atoms=-0.728 dos_at_fermi_per_ev_atom=0.60 pbc="T T T"
Li 1.0155 3.2532 0.0000
Li 3.2532 7.5220 0.0000
Li 5.2843 1.0155 0.0000
Li 7.5220 5.2843 0.0000
La 0.0000 0.0000 0.0000
La 4.2687 4.2687 0.0000
Mg 1.5021 5.7709 1.6205
Mg 2.7666 1.5021 1.6205
Mg 5.7709 7.0353 1.6205
Mg 7.0353 2.7666 1.6205